one | 6
Lattice="4.2001 -0.0012 0.0022 0.5472 7.0567 -0.0005 1.9538 2.2145 7.2118" Properties=species:S:1:pos:R:3 comment="RbSiSn (GGA-PBE, optimized geometry)" sg="No. 2" n_ef_per_ev_atom=0.24 pbc="T T T"
Si 1.9826 3.6033 3.7955
Sn 2.6132 5.2668 1.7549
Rb 4.2209 1.7416 1.5709
Si 4.7185 5.6667 3.4179
Sn 4.0879 4.0033 5.4586
Rb 2.4802 7.5284 5.6425

***

two | 6
Lattice="-1.5404 3.6451 1.2468 -1.9288 -2.7775 6.6610 4.3853 2.1662 6.4406" Properties=species:S:1:pos:R:3 comment="RbSiSn (GGA-PBE, optimized geometry)" sg="No. 1" n_ef_per_ev_atom=0.13 pbc="T T T"
Si -0.4223 1.5219 5.8342
Rb -0.7040 2.0541 11.6284
Sn -0.0955 3.2417 8.0997
Si -1.1449 0.7207 8.1222
Sn -1.3474 -1.1927 5.6760
Rb -0.8328 0.1898 2.2355

***

three | 12
Lattice="4.3800 0.0000 0.0084 0.0000 7.3545 0.0000 -3.8954 0.0000 12.8873" Properties=species:S:1:pos:R:3 comment="RbSiSn (GGA-PBE, optimized geometry)" sg="No. 8" n_ef_per_ev_atom=0.20 pbc="T T T"
Rb 2.8625 0.0000 4.8951
Sn 0.5223 5.2147 2.3644
Rb -1.1833 0.0000 12.8890
Sn -1.4255 1.5374 8.8081
Sn 0.5223 2.1398 2.3644
Si 1.1444 0.0000 10.1397
Rb 0.9148 3.6772 11.3387
Si 2.6909 3.6772 1.2825
Rb 0.7644 3.6772 6.4453
Sn -1.4255 5.8170 8.8081
Si 3.0922 3.6772 3.6961
Si 0.7432 0.0000 7.7261

***

four | 6
Lattice="4.7431 0.0130 -0.0323 2.3594 4.1139 -0.0358 -0.0054 0.1971 12.6058" Properties=species:S:1:pos:R:3 comment="RbSiSn (GGA-PBE, optimized geometry)" sg="No. 1" n_ef_per_ev_atom=0.43 pbc="T T T"
Sn 4.4431 0.8145 10.6623
Si 2.0626 2.1733 9.9206
Rb 4.3995 3.5252 5.1731
Si 2.0462 2.1594 7.4867
Sn 4.4235 0.7980 7.8000
Rb 4.4562 3.3672 0.3454

***

Least stable: four

***

one | 8
Lattice="-7.3942 0.8193 5.1872 -3.4011 -7.5729 -3.6520 -4.0764 -5.0023 2.9078" Properties=species:S:1:pos:R:3 comment="RbSrSi2 (GGA-PBE, optimized geometry)" sg="No. 122" n_ef_per_ev_atom=1.15 pbc="T T T"
Rb -6.4375 -7.9759 0.0117
Sr -8.4341 -3.7799 4.4313
Sr 0.0000 0.0000 0.0000
Si -3.9570 -5.8936 -0.9857
Si -7.0539 -6.1695 2.8119
Si -6.1776 -1.6727 3.5910
Si -12.5546 -9.7758 3.4688
Rb -5.3976 -3.3768 0.7676

***

two | 4
Lattice="0.0000 3.9148 3.9148 3.9148 0.0000 3.9148 3.9148 3.9148 0.0000" Properties=species:S:1:pos:R:3 comment="RbSrSi2 (GGA-PBE, optimized geometry)" sg="No. 225" n_ef_per_ev_atom=0.73 pbc="T T T"
Sr 3.9148 3.9148 3.9148
Si 5.8721 5.8721 5.8721
Rb 0.0000 0.0000 0.0000
Si 1.9574 1.9574 1.9574

***

Least stable: one